(1)
A plane-wave DFT calculation with PBE was carried out for an optimized crystal structure of GdLu2Ti.

Polymorph energy (0 for the lowest one)   0 meV/atom
Density of states at the Fermi level   6.82 states/eV/cell
Energy relative to the elements   159 meV per atom
Total magnetic moment   5.90 μB per cell

a b c (Å): 3.6452 3.6452 8.2611
angles (deg): 90.00 90.00 90.00
Closest atoms and distances in Å follow each position.
Space group P4/mmm (No. 123)
One atom of each set of equivalent atoms:
Gd (0.0000, 0.0000, 0.0000) (multiplicity 1)  8 Lu 3.54, 4 Gd 3.65
Lu (0.5000, 0.5000, 0.2945) (multiplicity 2)  4 Ti 3.09, 1 Lu 3.40
Ti (0.0000, 0.0000, 0.5000) (multiplicity 1)  8 Lu 3.09

---

(2)
A plane-wave DFT calculation with PBE was carried out for an optimized crystal structure of Zn2Hg3.

Polymorph energy (0 for the lowest one)   4 meV/atom
Density of states at the Fermi level   5.23 states/eV/cell
Energy relative to the elements   101 meV per atom
Total magnetic moment   0.00 μB per cell

a b c (Å): 3.4684 3.4684 31.5286
angles (deg): 90.00 90.00 120.00
Closest atoms and distances in Å follow each position.
Space group R-3m (No. 166, hexagonal axes)
One atom of each set of equivalent atoms:
Zn (0.0000, 0.0000, 0.1024) (multiplicity 6)  6 Hg 2.85
Hg (0.0000, 0.0000, 0.2950) (multiplicity 6)  3 Zn 2.85, 3 Hg 3.14
Hg (0.0000, 0.0000, 0.5000) (multiplicity 3)  6 Zn 2.85

---

(3)
A plane-wave DFT calculation with PBE was carried out for an optimized crystal structure of LiGeB.

Density of states at the Fermi level   1.89 states/eV/cell
Energy relative to the elements   503 meV per atom
Total magnetic moment   0.00 μB per cell

a b c (Å): 6.0528 4.2315 3.3910
angles (deg): 90.00 90.00 90.00
Closest atoms and distances in Å follow each position.
Space group Pmma (No. 51)
One atom of each set of equivalent atoms:
Li (0.2500, 0.0000, 0.0732) (multiplicity 2)  4 B 2.61, 4 Ge 2.69-2.74
Ge (0.2500, 0.5000, 0.5844) (multiplicity 2)  2 B 2.07
B (0.0000, 0.5000, 0.0000) (multiplicity 2)  2 Ge 2.07

---

(4)
A plane-wave DFT calculation with PBE was carried out for an optimized crystal structure of La2TmPdSe5.

Density of states at the Fermi level   10.97 states/eV/cell
E_form (uncorrected)   -1.67 eV per atom
Total magnetic moment   0.00 μB per cell

a b c (Å): 4.0525 17.5224 12.5825
angles (deg): 90.00 90.00 90.00
Closest atoms and distances in Å follow each position.
Space group Cmc2_1 (No. 36)
One atom of each set of equivalent atoms:
La (0.0000, 0.1097, 0.0000) (multiplicity 4)  8 Se 3.09-3.38
La (0.0000, 0.1261, 0.3516) (multiplicity 4)  8 Se 3.04-3.27
Tm (0.0000, 0.1767, 0.6758) (multiplicity 4)  6 Se 2.83-2.90, 2 Pd 3.16
Pd (0.0000, 0.4433, 0.0792) (multiplicity 4)  4 Se 2.51-2.61
Se (0.0000, 0.0150, 0.6812) (multiplicity 4)  2 Pd 2.51
Se (0.0000, 0.3021, 0.0141) (multiplicity 4)  1 Pd 2.61, 2 Tm 2.90
Se (0.0000, 0.3076, 0.3357) (multiplicity 4)  2 Tm 2.87, 1 La 3.19
Se (0.0000, 0.3395, 0.6721) (multiplicity 4)  1 Tm 2.85, 4 La 3.09-3.10
Se (0.0000, 0.4992, 0.8958) (multiplicity 4)  1 Pd 2.51

---

(5)
A plane-wave DFT calculation with PBE was carried out for an optimized crystal structure of KNaCdAg.

Polymorph energy (0 for the lowest one)   73 meV/atom
Density of states at the Fermi level   5.06 states/eV/cell
Energy relative to the elements   41 meV per atom
Total magnetic moment   0.00 μB per cell

a b c (Å): 7.6512 7.6512 7.6512
angles (deg): 90.00 90.00 90.00
Closest atoms and distances in Å follow each position.
Space group F-43m (No. 216)
One atom of each set of equivalent atoms:
K (0.0000, 0.0000, 0.0000) (multiplicity 4)  4 Na 3.31, 4 Ag 3.31
Na (0.2500, 0.2500, 0.2500) (multiplicity 4)  4 Cd 3.31, 4 K 3.31
Cd (0.0000, 0.0000, 0.5000) (multiplicity 4)  4 Na 3.31, 4 Ag 3.31
Ag (0.2500, 0.2500, 0.7500) (multiplicity 4)  4 Cd 3.31, 4 K 3.31

---

(6)
A plane-wave DFT calculation with PBE was carried out for an optimized crystal structure of Sc2ReMo.

Polymorph energy (0 for the lowest one)   361 meV/atom
Density of states at the Fermi level   33.85 states/eV/cell
Energy relative to the elements   271 meV per atom
Total magnetic moment   0.01 μB per cell

a b c (Å): 6.5631 6.5631 6.5631
angles (deg): 90.00 90.00 90.00
Closest atoms and distances in Å follow each position.
Space group Fm-3m (No. 225)
One atom of each set of equivalent atoms:
Sc (0.2500, 0.2500, 0.2500) (multiplicity 8)  4 Mo 2.84, 4 Re 2.84
Re (0.0000, 0.0000, 0.0000) (multiplicity 4)  8 Sc 2.84
Mo (0.0000, 0.0000, 0.5000) (multiplicity 4)  8 Sc 2.84

---

(7)
A plane-wave DFT calculation with PBE was carried out for an optimized crystal structure of RuAu3.

Density of states at the Fermi level   7.04 states/eV/cell
Energy relative to the elements   333 meV per atom
Total magnetic moment   0.86 μB per cell

a b c (Å): 5.9446 8.2600 2.7725
angles (deg): 90.00 90.00 90.00
Closest atoms and distances in Å follow each position.
Space group Cmmm (No. 65)
One atom of each set of equivalent atoms:
Ru (0.0000, 0.0000, 0.0000) (multiplicity 2)  2 Ru 2.77, 10 Au 2.90-2.97
Au (0.0000, 0.5000, 0.0000) (multiplicity 2)  10 Au 2.77-2.90, 2 Ru 2.97
Au (0.2500, 0.2500, 0.5000) (multiplicity 4)  8 Au 2.77-2.97, 4 Ru 2.90

---

(8)
A plane-wave DFT calculation with PBE was carried out for an optimized crystal structure of FeHg.

Density of states at the Fermi level   5.64 states/eV/cell
Energy relative to the elements   783 meV per atom
Total magnetic moment   10.94 μB per cell

a b c (Å): 5.3615 5.3615 5.3615
angles (deg): 90.00 90.00 90.00
Closest atoms and distances in Å follow each position.
Space group Fm-3m (No. 225)
One atom of each set of equivalent atoms:
Fe (0.0000, 0.0000, 0.0000) (multiplicity 4)  6 Hg 2.68
Hg (0.0000, 0.0000, 0.5000) (multiplicity 4)  6 Fe 2.68

---

(9)
A plane-wave DFT calculation with PBE was carried out for an optimized crystal structure of SrTmMo2N6.

Density of states at the Fermi level   19.67 states/eV/cell
E_form (uncorrected)   -0.60 eV per atom
Total magnetic moment   4.05 μB per cell

a b c (Å): 11.3028 10.3286 6.5238
angles (deg): 90.00 114.21 90.00
Closest atoms and distances in Å follow each position.
Space group C2/c (No. 15)
One atom of each set of equivalent atoms:
Sr (0.0000, 0.0953, 0.2500) (multiplicity 4)  6 N 2.51-2.72
Tm (0.0000, 0.2774, 0.7500) (multiplicity 4)  6 N 2.30-2.48
Mo (0.2030, 0.4203, 0.1796) (multiplicity 8)  4 N 1.78-1.96
N (0.1134, 0.2738, 0.1406) (multiplicity 8)  1 Mo 1.78
N (0.1226, 0.1175, 0.6881) (multiplicity 8)  1 Mo 1.84
N (0.1518, 0.4631, 0.8663) (multiplicity 8)  2 Mo 1.93-1.96

---

(10)
A plane-wave DFT calculation with PBE was carried out for an optimized crystal structure of CaIr2RuAu.

Density of states at the Fermi level   7.43 states/eV/cell
Energy relative to the elements   2264 meV per atom
Total magnetic moment   4.21 μB per cell

a b c (Å): 4.7665 4.7665 4.9224
angles (deg): 90.00 90.00 90.00
Closest atoms and distances in Å follow each position.
Space group P4/mmm (No. 123)
One atom of each set of equivalent atoms:
Ca (0.0000, 0.0000, 0.0000) (multiplicity 1)  4 Ir 2.38, 2 Au 2.46
Ir (0.0000, 0.5000, 0.0000) (multiplicity 2)  2 Ca 2.38
Ru (0.5000, 0.5000, 0.5000) (multiplicity 1)  4 Au 3.37, 8 Ir 3.43
Au (0.0000, 0.0000, 0.5000) (multiplicity 1)  2 Ca 2.46

---

(11)
A plane-wave DFT calculation with PBE was carried out for an optimized crystal structure of CsTbAs2Pt4.

Density of states at the Fermi level   4.99 states/eV/cell
Energy relative to the elements   -657 meV per atom
Total magnetic moment   0.00 μB per cell

a b c (Å): 4.0688 4.0688 11.7401
angles (deg): 90.00 90.00 90.00
Closest atoms and distances in Å follow each position.
Space group P4/mmm (No. 123)
One atom of each set of equivalent atoms:
Cs (0.0000, 0.0000, 0.0000) (multiplicity 1)  8 As 3.71, 4 Cs 4.07
Tb (0.0000, 0.0000, 0.5000) (multiplicity 1)  8 Pt 2.95
As (0.5000, 0.5000, 0.1995) (multiplicity 2)  4 Pt 2.47
Pt (0.0000, 0.5000, 0.3185) (multiplicity 4)  2 As 2.47

---

(12)
A plane-wave DFT calculation with PBE was carried out for an optimized crystal structure of Y2VPd.

Polymorph energy (0 for the lowest one)   0 meV/atom
Density of states at the Fermi level   13.91 states/eV/cell
Energy relative to the elements   -167 meV per atom
Total magnetic moment   13.94 μB per cell

a b c (Å): 7.1117 7.1117 7.1117
angles (deg): 90.00 90.00 90.00
Closest atoms and distances in Å follow each position.
Space group Fm-3m (No. 225)
One atom of each set of equivalent atoms:
Y (0.2500, 0.2500, 0.2500) (multiplicity 8)  4 Pd 3.08, 4 V 3.08
V (0.0000, 0.0000, 0.0000) (multiplicity 4)  8 Y 3.08
Pd (0.0000, 0.0000, 0.5000) (multiplicity 4)  8 Y 3.08

---

(13)
A plane-wave DFT calculation with PBE was carried out for an optimized crystal structure of SrCa2HgIr.

Polymorph energy (0 for the lowest one)   91 meV/atom
Density of states at the Fermi level   3.35 states/eV/cell
Energy relative to the elements   -157 meV per atom
Total magnetic moment   0.00 μB per cell

a b c (Å): 5.4525 5.4525 5.4866
angles (deg): 90.00 90.00 90.00
Closest atoms and distances in Å follow each position.
Space group P4/mmm (No. 123)
One atom of each set of equivalent atoms:
Sr (0.0000, 0.0000, 0.0000) (multiplicity 1)  4 Hg 3.86, 8 Ca 3.87
Ca (0.0000, 0.5000, 0.5000) (multiplicity 2)  2 Ir 2.73
Hg (0.5000, 0.5000, 0.0000) (multiplicity 1)  2 Ir 2.74
Ir (0.5000, 0.5000, 0.5000) (multiplicity 1)  4 Ca 2.73, 2 Hg 2.74

---

(14)
A plane-wave DFT calculation with PBE was carried out for an optimized crystal structure of AlFeOs2.

Density of states at the Fermi level   8.00 states/eV/cell
Energy relative to the elements   232 meV per atom
Total magnetic moment   4.61 μB per cell

a b c (Å): 2.8282 4.5694 8.6128
angles (deg): 90.00 90.00 90.00
Closest atoms and distances in Å follow each position.
Space group Cmm2 (No. 35)
One atom of each set of equivalent atoms:
Al (0.0000, 0.0000, 0.0000) (multiplicity 2)  2 Fe 2.48, 2 Os 2.57, 4 Al 2.69
Fe (0.0000, 0.5000, 0.2368) (multiplicity 2)  2 Al 2.48, 2 Os 2.56, 4 Fe 2.69
Os (0.0000, 0.0000, 0.4842) (multiplicity 2)  2 Fe 2.56, 8 Os 2.69-2.83
Os (0.0000, 0.5000, 0.7512) (multiplicity 2)  2 Al 2.57, 8 Os 2.69-2.83

---

(15)
A plane-wave DFT calculation with PBE was carried out for an optimized crystal structure of Er2Co12Ge7.

Density of states at the Fermi level   16.59 states/eV/cell
Energy relative to the elements   -341 meV per atom
Total magnetic moment   2.57 μB per cell

a b c (Å): 9.3242 9.3242 3.7429
angles (deg): 90.00 90.00 120.00
Closest atoms and distances in Å follow each position.
Space group P-6 (No. 174)
One atom of each set of equivalent atoms:
Er (0.0000, 0.0000, 0.0000) (multiplicity 1)  6 Ge 2.96, 12 Co 3.08-3.22
Er (0.3333, 0.6667, 0.5000) (multiplicity 1)  6 Ge 2.95, 9 Co 3.05-3.23
Co (0.0447, 0.2819, 0.5000) (multiplicity 3)  4 Ge 2.35-2.40
Co (0.1063, 0.7198, 0.0000) (multiplicity 3)  4 Ge 2.33-2.36, 1 Co 2.56
Co (0.3859, 0.1810, 0.0000) (multiplicity 3)  4 Ge 2.27-2.33
Co (0.5522, 0.4345, 0.5000) (multiplicity 3)  5 Ge 2.41-2.56, 1 Co 2.65
Ge (0.0661, 0.4522, 0.0000) (multiplicity 3)  7 Co 2.30-2.52
Ge (0.2631, 0.2244, 0.5000) (multiplicity 3)  7 Co 2.33-2.41
Ge (0.6667, 0.3333, 0.0000) (multiplicity 1)  3 Co 2.27

---

(16)
A plane-wave DFT calculation with PBE was carried out for an optimized crystal structure of RuRh2W.

Polymorph energy (0 for the lowest one)   737 meV/atom
Density of states at the Fermi level   22.98 states/eV/cell
Energy relative to the elements   554 meV per atom
Total magnetic moment   0.00 μB per cell

a b c (Å): 7.0250 7.0250 5.2556
angles (deg): 90.00 90.00 90.00
Closest atoms and distances in Å follow each position.
Space group I-42d (No. 122)
One atom of each set of equivalent atoms:
Ru (0.0000, 0.0000, 0.0000) (multiplicity 4)  2 W 2.63, 4 Rh 2.69
Rh (0.2250, 0.2500, 0.6250) (multiplicity 8)  2 W 2.45, 2 Rh 2.65, 2 Ru 2.69
W (0.0000, 0.0000, 0.5000) (multiplicity 4)  4 Rh 2.45, 2 Ru 2.63

---

(17)
A plane-wave DFT calculation with PBE was carried out for an optimized crystal structure of Cu2Ru.

Polymorph energy (0 for the lowest one)   131 meV/atom
Density of states at the Fermi level   13.46 states/eV/cell
Energy relative to the elements   270 meV per atom
Total magnetic moment   2.29 μB per cell

a b c (Å): 5.2420 3.7611 7.8642
angles (deg): 90.00 90.00 90.00
Closest atoms and distances in Å follow each position.
Space group Pnma (No. 62)
One atom of each set of equivalent atoms:
Cu (0.1099, 0.2500, 0.0887) (multiplicity 4)  7 Cu 2.56-2.68, 5 Ru 2.61-2.71
Cu (0.1268, 0.2500, 0.7569) (multiplicity 4)  7 Cu 2.56-2.68, 5 Ru 2.60-2.69
Ru (0.1074, 0.2500, 0.4266) (multiplicity 4)  2 Ru 2.48, 10 Cu 2.60-2.71

---

(18)
A plane-wave DFT calculation with PBE was carried out for an optimized crystal structure of Cd6CuAu12.

Polymorph energy (0 for the lowest one)   0 meV/atom
Density of states at the Fermi level   19.64 states/eV/cell
Energy relative to the elements   -104 meV per atom
Total magnetic moment   0.00 μB per cell

a b c (Å): 10.3287 10.3287 11.8846
angles (deg): 90.00 90.00 120.00
Closest atoms and distances in Å follow each position.
Space group R-3 (No. 148, hexagonal axes)
One atom of each set of equivalent atoms:
Cd (0.0228, 0.5975, 0.2122) (multiplicity 18)  9 Au 2.86-3.14, 1 Cu 2.97, 2 Cd 3.11
Cu (0.0000, 0.0000, 0.5000) (multiplicity 3)  6 Au 2.72, 6 Cd 2.97
Au (0.0453, 0.8648, 0.3195) (multiplicity 18)  1 Cu 2.72, 4 Au 2.82-2.91, 4 Cd 2.94-3.04
Au (0.0543, 0.1983, 0.9055) (multiplicity 18)  4 Au 2.82-3.10, 4 Cd 2.86-2.96